1.
VASP calculation (PBE) on a relaxed BaYRh crystal.

CIF file:
```
data_BaYRh
_chemical_formula_sum 'Ba4 Y4 Rh4'
_cell_length_a 7.1991
_cell_length_b 7.1991
_cell_length_c 7.1991
_cell_angle_alpha 90.00
_cell_angle_beta 90.00
_cell_angle_gamma 90.00
_symmetry_space_group_name_H-M 'F -4 3 m'
_symmetry_Int_Tables_number 216
_symmetry_space_group_name_Hall 'F -4 2 3'
loop_
_atom_site_label
_atom_site_fract_x
_atom_site_fract_y
_atom_site_fract_z
Ba1 0.0000 0.0000 0.0000
Y1 0.0000 0.0000 0.5000
Rh1 0.2500 0.2500 0.7500
```

* calculated volume: 31.092 Å³/atom
* calculated formation energy: -0.16 eV/atom

2.
VASP calculation (PBE) on a relaxed Ba2TlRhAu crystal.

CIF file:
```
data_Ba2TlRhAu
_chemical_formula_sum 'Ba2 Tl1 Rh1 Au1'
_cell_length_a 6.1238
_cell_length_b 6.1238
_cell_length_c 5.2253
_cell_angle_alpha 90.00
_cell_angle_beta 90.00
_cell_angle_gamma 90.00
_symmetry_space_group_name_H-M 'P 4/m m m'
_symmetry_Int_Tables_number 123
_symmetry_space_group_name_Hall '-P 4 2'
loop_
_atom_site_label
_atom_site_fract_x
_atom_site_fract_y
_atom_site_fract_z
Ba1 0.0000 0.5000 0.0000
Tl1 0.0000 0.0000 0.5000
Rh1 0.5000 0.5000 0.5000
Au1 0.0000 0.0000 0.0000
```

* calculated volume: 39.191 Å³/atom
* calculated formation energy: 0.24 eV/atom

3.
VASP calculation (PBE) on a relaxed Ac2ZnGaCu6 crystal.

CIF file:
```
data_Ac2ZnGaCu6
_chemical_formula_sum 'Ac4 Zn2 Ga2 Cu12'
_cell_length_a 6.6238
_cell_length_b 6.6256
_cell_length_c 9.3612
_cell_angle_alpha 90.00
_cell_angle_beta 90.00
_cell_angle_gamma 90.00
_symmetry_space_group_name_H-M 'I m m m'
_symmetry_Int_Tables_number 71
_symmetry_space_group_name_Hall '-I 2 2'
loop_
_atom_site_label
_atom_site_fract_x
_atom_site_fract_y
_atom_site_fract_z
Ac1 0.0000 0.0000 0.2499
Zn1 0.0000 0.5000 0.0000
Ga1 0.0000 0.5000 0.5000
Cu1 0.0000 0.5000 0.2494
Cu2 0.2491 0.2510 0.0000
```

* calculated volume: 20.541 Å³/atom
* calculated formation energy: 0.01 eV/atom

4.
VASP calculation (PBE) on a relaxed TbHo8Tl2 crystal.

CIF file:
```
data_TbHo8Tl2
_chemical_formula_sum 'Tb2 Ho16 Tl4'
_cell_length_a 8.8383
_cell_length_b 15.1269
_cell_length_c 5.5708
_cell_angle_alpha 90.00
_cell_angle_beta 113.67
_cell_angle_gamma 90.00
_symmetry_space_group_name_H-M 'C 1 2/m 1'
_symmetry_Int_Tables_number 12
loop_
_symmetry_equiv_pos_as_xyz
'x,y,z'
'-x,-y,-z'
'-x,y,-z'
'x,-y,z'
'x+1/2,y+1/2,z'
'-x+1/2,-y+1/2,-z'
'-x+1/2,y+1/2,-z'
'x+1/2,-y+1/2,z'
loop_
_atom_site_label
_atom_site_fract_x
_atom_site_fract_y
_atom_site_fract_z
Tb1 0.0000 0.0000 0.0000
Ho1 0.0000 0.2170 0.0000
Ho2 0.0981 0.5000 0.7971
Ho3 0.2086 0.1134 0.6186
Tl1 0.0000 0.3062 0.5000
```

* calculated volume: 31.005 Å³/atom
* calculated formation energy: 0.00 eV/atom

5.
VASP calculation (PBE) on a relaxed K2LiTa crystal.

CIF file:
```
data_K2LiTa
_chemical_formula_sum 'K2 Li1 Ta1'
_cell_length_a 4.8732
_cell_length_b 4.8732
_cell_length_c 5.7896
_cell_angle_alpha 90.00
_cell_angle_beta 90.00
_cell_angle_gamma 90.00
_symmetry_space_group_name_H-M 'P 4/m m m'
_symmetry_Int_Tables_number 123
_symmetry_space_group_name_Hall '-P 4 2'
loop_
_atom_site_label
_atom_site_fract_x
_atom_site_fract_y
_atom_site_fract_z
K1 0.0000 0.5000 0.0000
Li1 0.0000 0.0000 0.5000
Ta1 0.5000 0.5000 0.5000
```

* calculated volume: 34.373 Å³/atom
* calculated formation energy: 1.40 eV/atom

6.
VASP calculation (PBE) on a relaxed AlFe2ReH crystal.

CIF file:
```
data_AlFe2ReH
_chemical_formula_sum 'Al1 Fe2 Re1 H1'
_cell_length_a 3.7398
_cell_length_b 3.7398
_cell_length_c 3.9271
_cell_angle_alpha 90.00
_cell_angle_beta 90.00
_cell_angle_gamma 90.00
_symmetry_space_group_name_H-M 'P 4/m m m'
_symmetry_Int_Tables_number 123
_symmetry_space_group_name_Hall '-P 4 2'
loop_
_atom_site_label
_atom_site_fract_x
_atom_site_fract_y
_atom_site_fract_z
Al1 0.0000 0.0000 0.0000
Fe1 0.0000 0.5000 0.5000
Re1 0.5000 0.5000 0.0000
H1 0.5000 0.5000 0.5000
```

* calculated volume: 10.985 Å³/atom
* raw total energy: -7.2772 eV per atom

7.
VASP calculation (PBE) on a relaxed Mg2PaPb crystal.

CIF file:
```
data_Mg2PaPb
_chemical_formula_sum 'Mg2 Pa1 Pb1'
_cell_length_a 3.1509
_cell_length_b 3.1509
_cell_length_c 10.2924
_cell_angle_alpha 90.00
_cell_angle_beta 90.00
_cell_angle_gamma 90.00
_symmetry_space_group_name_H-M 'P 4/m m m'
_symmetry_Int_Tables_number 123
_symmetry_space_group_name_Hall '-P 4 2'
loop_
_atom_site_label
_atom_site_fract_x
_atom_site_fract_y
_atom_site_fract_z
Mg1 0.0000 0.0000 0.2442
Pa1 0.5000 0.5000 0.0000
Pb1 0.5000 0.5000 0.5000
```

* calculated volume: 25.546 Å³/atom
* calculated formation energy: 0.15 eV/atom

8.
VASP calculation (PBE) on a relaxed Cr2RhW crystal.

CIF file:
```
data_Cr2RhW
_chemical_formula_sum 'Cr2 Rh1 W1'
_cell_length_a 3.8218
_cell_length_b 3.8218
_cell_length_c 3.7110
_cell_angle_alpha 90.00
_cell_angle_beta 90.00
_cell_angle_gamma 90.00
_symmetry_space_group_name_H-M 'P 4/m m m'
_symmetry_Int_Tables_number 123
_symmetry_space_group_name_Hall '-P 4 2'
loop_
_atom_site_label
_atom_site_fract_x
_atom_site_fract_y
_atom_site_fract_z
Cr1 0.0000 0.5000 0.0000
Rh1 0.0000 0.0000 0.5000
W1 0.5000 0.5000 0.5000
```

* calculated volume: 13.551 Å³/atom
* calculated formation energy: 0.15 eV/atom

Q: The lowest calculated volume belongs to which entry?
A: AlFe2ReH

Q: Number 8 is which compound?
A: Cr2RhW

Q: What is the calculated volume in the eighth record?
A: 13.551 Å³/atom

Q: What is the calculated volume in the first record?
A: 31.092 Å³/atom